The following is a DFT calculation (PBE with a Hubbard U) of a geometry-optimized SrFe2SbO6 structure.

a = 5.354 Å, b = 5.419 Å, c = 5.812 Å
α = 63.94°, β = 64.48°, γ = 61.18°
Atoms (fractional coordinates):
Sr 0.000 0.000 0.000
Fe 0.216 0.211 0.359
Fe 0.722 0.732 0.811
Sb 0.519 0.531 0.420
O 0.135 0.817 0.592
O 0.361 0.526 0.160
O 0.431 0.150 0.604
O 0.538 0.917 0.137
O 0.779 0.459 0.624
O 0.921 0.376 0.163

Output
Its total magnetic moment is 6.947 μB per cell. The calculation puts the uncorrected energy at -6.37 eV/atom. As for the crystal system: triclinic. As for the space group: P1 (1).